Material: Ac6Ir3Au2
Method: DFT, PBE
State: relaxed

a = 7.6114 Å, b = 7.6007 Å, c = 7.8557 Å
α = 80.77°, β = 71.32°, γ = 59.95°
With the nearest neighbours (Å) after each atom.
Fractional positions:
Ac  0.4051  0.6596  0.7838  3 Ir 2.97-3.03, 2 Au 3.27-3.28
Ac  0.7455  0.0000  0.7836  3 Ir 2.96-3.01, 2 Au 3.28
Ac  0.0647  0.3404  0.7838  3 Ir 2.97-3.03, 2 Au 3.27-3.28
Ac  0.2545  0.0000  0.2164  3 Ir 2.96-3.01, 2 Au 3.28
Ac  0.5949  0.3404  0.2162  3 Ir 2.97-3.03, 2 Au 3.27-3.28
Ac  0.9353  0.6596  0.2162  3 Ir 2.97-3.03, 2 Au 3.27-3.28
Ir  0.0000  0.0000  0.0000  6 Ac 2.96-3.03
Ir  0.3347  0.3307  0.0000  6 Ac 2.97-3.03
Ir  0.6653  0.6693  0.0000  6 Ac 2.97-3.03
Au  0.1666  0.6668  0.5000  6 Ac 3.27-3.28
Au  0.8334  0.3332  0.5000  6 Ac 3.27-3.28

Values from the calculation:
DOS(E_F) ... 0.518 states/eV per atom
Formation energy ... -731 meV per atom
Volume ... 33.88 Å³ per atom



Material: BeCr2Os
Method: DFT, PBE
State: relaxed

a = 2.5680 Å, b = 2.5680 Å, c = 7.8005 Å
α = 90.00°, β = 90.00°, γ = 112.23°
With the nearest neighbours (Å) after each atom.
Fractional positions:
Cr  0.0000  0.0000  0.9963  2 Be 2.35, 6 Cr 2.35-2.57
Cr  0.5000  0.5000  0.2359  6 Cr 2.35-2.57, 2 Os 2.58
Os  0.0000  0.0000  0.5107  2 Be 2.40, 4 Os 2.57, 2 Cr 2.58
Be  0.5000  0.5000  0.7571  2 Cr 2.35, 2 Os 2.40, 4 Be 2.57

Values from the calculation:
DOS(E_F) ... 0.797 states/eV per atom
Formation energy ... 183 meV per atom
Volume ... 11.90 Å³ per atom



Material: HgAsSe4
Method: DFT, PBE
State: relaxed

a = 5.7544 Å, b = 5.7544 Å, c = 5.7544 Å
α = 60.00°, β = 60.00°, γ = 60.00°
With the nearest neighbours (Å) after each atom.
Fractional positions:
Hg  0.0000  0.0000  0.0000  12 Se 3.38, 4 As 3.52
As  0.7500  0.7500  0.7500  12 Se 3.37, 4 Hg 3.52
Se  0.8728  0.3757  0.3757  6 Se 2.86-2.89
Se  0.3757  0.3757  0.8728  6 Se 2.86-2.89
Se  0.3757  0.8728  0.3757  6 Se 2.86-2.89
Se  0.3757  0.3757  0.3757  6 Se 2.86-2.89

Values from the calculation:
DOS(E_F) ... 0.769 states/eV per atom
Volume ... 22.46 Å³ per atom
Total DFT energy (no corrections) ... -2.477 eV per atom



Material: CsCdSe2Br
Method: DFT, PBE
State: relaxed

a = 5.3247 Å, b = 5.3247 Å, c = 6.0897 Å
α = 90.00°, β = 90.00°, γ = 90.00°
With the nearest neighbours (Å) after each atom.
Fractional positions:
Cs  0.5000  0.5000  0.5000  4 Br 3.77, 8 Se 4.04
Se  0.0000  0.5000  0.0000  2 Cd 2.66
Se  0.5000  0.0000  0.0000  2 Cd 2.66
Br  0.0000  0.0000  0.5000  2 Cd 3.04
Cd  0.0000  0.0000  0.0000  4 Se 2.66

Values from the calculation:
DOS(E_F) ... 1.432 states/eV per atom
Volume ... 34.53 Å³ per atom
Distance to the lowest polymorph of the same formula ... 0.000 eV per formula unit



Material: Li3FeNi
Method: DFT, PBE
State: relaxed

a = 4.3721 Å, b = 4.3721 Å, c = 4.3721 Å
α = 90.00°, β = 90.00°, γ = 90.00°
With the nearest neighbours (Å) after each atom.
Fractional positions:
Ni  0.0000  0.0000  0.0000  6 Li 2.19
Fe  0.5000  0.5000  0.5000  12 Li 3.09
Li  0.0000  0.5000  0.0000  2 Ni 2.19
Li  0.0000  0.0000  0.5000  2 Ni 2.19
Li  0.5000  0.0000  0.0000  2 Ni 2.19

Values from the calculation:
DOS(E_F) ... 0.840 states/eV per atom
Formation energy ... 764 meV per atom
Volume ... 16.71 Å³ per atom



Material: Th4TcRhS2
Method: DFT, PBE
State: relaxed

a = 4.0525 Å, b = 7.5631 Å, c = 7.0067 Å
α = 71.99°, β = 90.00°, γ = 90.00°
With the nearest neighbours (Å) after each atom.
Fractional positions:
Th  0.0000  0.7256  0.7527  1 Tc 2.81, 2 Rh 2.86, 3 S 3.05-3.09
Th  0.0000  0.2744  0.2473  1 Tc 2.81, 2 Rh 2.86, 3 S 3.05-3.09
Th  0.5000  0.7290  0.2623  2 Tc 2.85, 1 Rh 2.89, 3 S 3.01-3.06
Th  0.5000  0.2710  0.7377  2 Tc 2.85, 1 Rh 2.89, 3 S 3.01-3.06
Tc  0.0000  0.5000  0.5000  6 Th 2.81-2.85
Rh  0.5000  0.5000  0.0000  6 Th 2.86-2.89
S  0.0000  0.0000  0.0000  6 Th 3.06-3.09
S  0.5000  0.0000  0.5000  6 Th 3.01-3.05

Values from the calculation:
DOS(E_F) ... 0.389 states/eV per atom
Volume ... 25.53 Å³ per atom
Total DFT energy (no corrections) ... -8.041 eV per atom



no.,spin magnetization (μB/atom)
1,0.0000
2,0.0000
3,0.0004
4,0.2175
5,0.6559
6,0.0000